No. 1
Pr2Ga8Pt | PBE | optimized geometry

abc: 4.422 4.422 11.464
angles: 90.00 90.00 90.00
Element x y z (fractional)
Pr (0.000, 0.000, 0.306)
Pr (0.000, 0.000, 0.694)
Ga (0.000, 0.500, 0.500)
Ga (0.500, 0.000, 0.500)
Ga (0.500, 0.500, 0.307)
Ga (0.500, 0.500, 0.693)
Ga (0.000, 0.500, 0.121)
Ga (0.500, 0.000, 0.121)
Ga (0.000, 0.500, 0.879)
Ga (0.500, 0.000, 0.879)
Pt (0.000, 0.000, 0.000)

Values from the calculation:
Space-group type: No. 123
Formation energy (eV per atom): -0.552

---

No. 2
Pr5Ga2Pt | PBE | optimized geometry

abc: 4.777 7.752 12.585
angles: 90.00 90.00 90.00
Element x y z (fractional)
Pr (0.000, 0.000, 0.500)
Pr (0.000, 0.500, 0.000)
Pr (0.000, 0.849, 0.212)
Pr (0.000, 0.151, 0.788)
Pr (0.000, 0.651, 0.712)
Pr (0.000, 0.349, 0.288)
Pr (0.500, 0.684, 0.420)
Pr (0.500, 0.316, 0.580)
Pr (0.500, 0.816, 0.920)
Pr (0.500, 0.184, 0.080)
Ga (0.500, 0.569, 0.167)
Ga (0.500, 0.431, 0.833)
Ga (0.500, 0.931, 0.667)
Ga (0.500, 0.069, 0.333)
Pt (0.000, 0.500, 0.500)
Pt (0.000, 0.000, 0.000)

Values from the calculation:
Space-group type: No. 55
Formation energy (eV per atom): -0.563

---

No. 3
Pr2GaPt6 | PBE | optimized geometry

abc: 5.721 5.696 6.340
angles: 78.08 90.00 120.15
Element x y z (fractional)
Pr (0.644, 0.288, 0.147)
Pr (0.356, 0.712, 0.853)
Ga (0.000, 0.000, 0.000)
Pt (0.877, 0.270, 0.686)
Pt (0.880, 0.761, 0.688)
Pt (0.393, 0.270, 0.686)
Pt (0.123, 0.730, 0.314)
Pt (0.120, 0.239, 0.312)
Pt (0.607, 0.730, 0.314)

Values from the calculation:
Space-group type: No. 12
Formation energy (eV per atom): -0.930

---

No. 4
Pr2Ga12Pt | PBE | optimized geometry

abc: 6.194 6.194 15.519
angles: 90.00 90.00 90.00
Element x y z (fractional)
Pr (0.500, 0.000, 0.244)
Pr (0.000, 0.500, 0.244)
Pr (0.000, 0.500, 0.756)
Pr (0.500, 0.000, 0.756)
Ga (0.500, 0.500, 0.813)
Ga (0.000, 0.000, 0.813)
Ga (0.750, 0.750, 0.911)
Ga (0.250, 0.750, 0.911)
Ga (0.000, 0.000, 0.347)
Ga (0.250, 0.750, 0.089)
Ga (0.831, 0.331, 0.569)
Ga (0.500, 0.500, 0.347)
Ga (0.250, 0.250, 0.911)
Ga (0.750, 0.750, 0.089)
Ga (0.331, 0.169, 0.569)
Ga (0.669, 0.169, 0.431)
Ga (0.000, 0.000, 0.653)
Ga (0.169, 0.331, 0.431)
Ga (0.250, 0.250, 0.089)
Ga (0.831, 0.669, 0.431)
Ga (0.669, 0.831, 0.569)
Ga (0.000, 0.000, 0.187)
Ga (0.169, 0.669, 0.569)
Ga (0.500, 0.500, 0.653)
Ga (0.750, 0.250, 0.911)
Ga (0.500, 0.500, 0.187)
Ga (0.331, 0.831, 0.431)
Ga (0.750, 0.250, 0.089)
Pt (0.500, 0.000, 0.000)
Pt (0.000, 0.500, 0.000)

Values from the calculation:
Space-group type: No. 125
Formation energy (eV per atom): -0.460

---

Number 1: VASP energy -45.89 eV for the cell shown. Number 2: VASP energy -80.99 eV for the cell shown. Number 3: VASP energy -57.20 eV for the cell shown. Number 4: VASP energy -117.65 eV for the cell shown.